# 1
First-principles (PBE) data for an optimized crystal structure of Mg2MoPt, as listed in Alexandria.

```
Mg2MoPt
1.0
4.045 0.000 0.000
0.000 4.045 0.000
0.000 0.000 4.089
Mg Mo Pt
2 1 1
Direct
0.000 0.500 0.000
0.500 0.000 0.000
0.000 0.000 0.500
0.500 0.500 0.500
```

Properties
ΔE to the lowest computed polymorph in meV per atom: 161
Spin magnetization in μB/atom: 0.27
DFT formation energy in kJ/mol of atoms: -4.3

***

# 2
First-principles (PBE) data for an optimized crystal structure of RbPd4Pb12, as listed in Alexandria.

```
RbPd4Pb12
1.0
-4.983 4.983 4.983
4.983 -4.983 4.983
4.983 4.983 -4.983
Rb Pd Pb
1 4 12
Direct
0.000 0.000 0.000
0.000 0.000 0.500
0.000 0.500 0.000
0.500 0.000 0.000
0.500 0.500 0.500
0.164 0.343 0.506
0.164 0.657 0.821
0.179 0.836 0.343
0.343 0.179 0.836
0.343 0.506 0.164
0.494 0.836 0.657
0.506 0.164 0.343
0.657 0.494 0.836
0.657 0.821 0.164
0.821 0.164 0.657
0.836 0.343 0.179
0.836 0.657 0.494
```

Properties
Spin magnetization in μB/atom: 0.00
DFT formation energy in kJ/mol of atoms: -8.1

***

# 3
First-principles (PBE) data for an optimized crystal structure of AlZnTc2, as listed in Alexandria.

```
AlZnTc2
1.0
-3.443 3.443 2.611
3.443 -3.443 2.611
3.443 3.443 -2.611
Al Zn Tc
2 2 4
Direct
0.000 0.000 0.000
0.750 0.250 0.500
0.250 0.750 0.500
0.500 0.500 0.000
0.116 0.125 0.491
0.375 0.884 0.009
0.634 0.625 0.509
0.875 0.366 0.991
```

Properties
ΔE to the lowest computed polymorph in meV per atom: 650
Spin magnetization in μB/atom: 0.00
DFT formation energy in kJ/mol of atoms: 42.7

***

# 4
First-principles (PBE) data for an optimized crystal structure of K2BiSbSe4, as listed in Alexandria.

```
K2BiSbSe4
1.0
7.403 0.000 0.000
0.000 4.277 0.000
-2.468 0.000 7.763
K Bi Sb Se
2 1 1 4
Direct
0.000 0.000 0.000
0.500 0.500 0.000
0.000 0.500 0.500
0.500 0.000 0.500
0.242 0.000 0.712
0.269 0.500 0.291
0.731 0.500 0.709
0.758 0.000 0.288
```

Properties
E_form (uncorrected) in meV/atom: -749
Spin magnetization in μB/atom: 0.00

***

# 5
First-principles (PBE) data for an optimized crystal structure of AgTe2Rh, as listed in Alexandria.

```
AgTe2Rh
1.0
2.008 1.159 8.019
-2.008 1.159 8.019
0.000 -2.319 8.019
Ag Te Rh
1 2 1
Direct
0.000 0.000 0.000
0.112 0.112 0.112
0.888 0.888 0.888
0.500 0.500 0.500
```

Properties
E_form (uncorrected) in meV/atom: -209
Spin magnetization in μB/atom: 0.00

***

# 6
First-principles (PBE) data for an optimized crystal structure of Ta4SbN2, as listed in Alexandria.

```
Ta4SbN2
1.0
-2.443 2.443 5.816
2.443 -2.443 5.816
2.443 2.443 -5.816
Ta Sb N
4 1 2
Direct
0.000 0.500 0.500
0.249 0.249 0.000
0.500 0.000 0.500
0.751 0.751 0.000
0.000 0.000 0.000
0.406 0.406 0.000
0.594 0.594 0.000
```

Properties
E_form (uncorrected) in meV/atom: 1394
Spin magnetization in μB/atom: 0.00